(1)
This record from Alexandria describes a geometry-optimized YAg2Hg2 structure. The functional is PBE.

Results
For the density of states at the Fermi level, the calculation gives 3.3 states/eV/f.u. The formation enthalpy at 0 K is -84 meV/atom. As for the total DFT energy (no corrections): -13.2 eV per formula unit. As for the density: 10445 kg/m³. The value obtained for the distance to the lowest polymorph of the same formula is 0.1387 eV/atom. The calculation puts the magnetic moment at 0.00 μB/cell.

a b c (Å): 7.987 7.987 3.519
angles (deg): 90.00 90.00 90.00
Positions (direct):
Y (0.000, 0.000, 0.000)
Y (0.500, 0.500, 0.000)
Ag (0.123, 0.377, 0.000)
Ag (0.377, 0.877, 0.000)
Ag (0.623, 0.123, 0.000)
Ag (0.877, 0.623, 0.000)
Hg (0.177, 0.677, 0.500)
Hg (0.323, 0.177, 0.500)
Hg (0.677, 0.823, 0.500)
Hg (0.823, 0.323, 0.500)

***

(2)
This record from Alexandria describes a geometry-optimized YAg2Hg structure. The functional is PBE.

Results
For the density of states at the Fermi level, the calculation gives 2.3 states/eV/f.u. The formation enthalpy at 0 K is -170 meV/atom. As for the total DFT energy (no corrections): -13.1 eV per formula unit. As for the density: 9084 kg/m³. The calculation puts the magnetic moment at 0.00 μB/cell.

a b c (Å): 3.310 4.844 5.761
angles (deg): 90.00 90.00 90.00
Positions (direct):
Y (0.000, 0.000, 0.000)
Ag (0.500, 0.500, 0.242)
Ag (0.500, 0.500, 0.758)
Hg (0.500, 0.000, 0.500)

***

(3)
This record from Alexandria describes a geometry-optimized Y2Ag2Hg structure. The functional is PBE.

Results
For the density of states at the Fermi level, the calculation gives 2.5 states/eV/f.u. The formation enthalpy at 0 K is -389 meV/atom. As for the total DFT energy (no corrections): -20.9 eV per formula unit. As for the density: 8459 kg/m³. The value obtained for the distance to the lowest polymorph of the same formula is 0.0000 eV/atom. The calculation puts the magnetic moment at 0.00 μB/cell.

a b c (Å): 5.262 5.275 8.802
angles (deg): 90.00 72.71 89.86
Positions (direct):
Y (0.140, 0.251, 0.219)
Y (0.359, 0.249, 0.781)
Y (0.641, 0.751, 0.219)
Y (0.860, 0.749, 0.781)
Ag (0.044, 0.751, 0.415)
Ag (0.458, 0.749, 0.585)
Ag (0.542, 0.251, 0.415)
Ag (0.956, 0.249, 0.585)
Hg (0.251, 0.750, 0.000)
Hg (0.749, 0.250, 0.000)

***

(4)
This record from Alexandria describes a geometry-optimized Y2AgHg structure. The functional is PBE.

Results
For the density of states at the Fermi level, the calculation gives 2.8 states/eV/f.u. The formation enthalpy at 0 K is -423 meV/atom. As for the total DFT energy (no corrections): -17.8 eV per formula unit. As for the density: 8047 kg/m³. The calculation puts the magnetic moment at 0.00 μB/cell.

a b c (Å): 3.688 5.218 5.215
angles (deg): 90.00 90.00 90.00
Positions (direct):
Y (0.000, 0.000, 0.000)
Y (0.000, 0.500, 0.499)
Ag (0.500, 0.500, 0.998)
Hg (0.500, 0.000, 0.501)